Entry 1:
Computed, not measured: crystalline CaGaPd3 at its relaxed geometry at the PBE-GGA level of DFT.

a b c (Å): 6.582 12.402 5.188
angles (deg): 90.00 90.00 90.00
Space group Cmcm (No. 63)
Unique sites:
Ca 0.000 0.081 0.250 (multiplicity 4)
Ga 0.000 0.330 0.250 (multiplicity 4)
Pd 0.000 0.500 0.000 (multiplicity 4)
Pd 0.194 0.287 0.750 (multiplicity 8)

* DOS(E_F): 9.07 states/eV/cell
* formation enthalpy at 0 K: -0.249 eV/atom


Entry 2:
Computed, not measured: crystalline CsCaInSe3 at its relaxed geometry at the PBE-GGA level of DFT.

a b c (Å): 14.957 6.007 9.809
angles (deg): 90.00 103.49 90.00
Space group C2/m (No. 12)
Unique sites:
Cs 0.151 0.000 0.035 (multiplicity 4)
Ca 0.135 0.000 0.590 (multiplicity 4)
In 0.056 0.500 0.352 (multiplicity 4)
Se 0.030 0.000 0.306 (multiplicity 4)
Se 0.122 0.500 0.635 (multiplicity 4)
Se 0.185 0.500 0.220 (multiplicity 4)

* formation energy without anion corrections: -1.121 eV per atom


Number 1: total DFT energy (no corrections) -4.370 eV per atom. Number 2: total DFT energy (no corrections) -3.795 eV per atom.